# 1
{"formula": "NaCa3ScZn3Si8O24", "functional": "meta-GGA SCAN", "state": "PBEsol geometry", "final_energy_ev_per_atom": -10.90, "crystal_system": "monoclinic", "space_group": "No. 13", "lattice_angstrom": [[5.284, -0.007, 0.000], [-2.556, 9.460, 0.000], [0.000, 0.000, 17.901]], "species": ["Si", "Si", "Si", "Si", "Si", "Si", "Si", "Si", "Si", "Si", "Si", "Si", "Si", "Si", "Si", "Si", "O", "O", "O", "O", "O", "O", "O", "O", "O", "O", "O", "O", "O", "O", "O", "O", "O", "O", "O", "O", "O", "O", "O", "O", "O", "O", "O", "O", "O", "O", "O", "O", "O", "O", "O", "O", "O", "O", "O", "O", "O", "O", "O", "O", "O", "O", "O", "O", "Sc", "Sc", "Ca", "Ca", "Ca", "Ca", "Ca", "Ca", "Na", "Na", "Zn", "Zn", "Zn", "Zn", "Zn", "Zn"], "frac_coords": [[0.800, 0.538, 0.419], [0.302, 0.039, 0.672], [0.694, 0.963, 0.829], [0.694, 0.463, 0.171], [0.195, 0.464, 0.078], [0.200, 0.462, 0.581], [0.306, 0.037, 0.171], [0.805, 0.036, 0.078], [0.800, 0.038, 0.581], [0.306, 0.537, 0.829], [0.698, 0.461, 0.672], [0.805, 0.536, 0.922], [0.195, 0.964, 0.922], [0.302, 0.539, 0.328], [0.698, 0.961, 0.328], [0.200, 0.962, 0.419], [0.779, 0.634, 0.169], [0.286, 0.109, 0.753], [0.712, 0.887, 0.751], [0.279, 0.135, 0.920], [0.721, 0.365, 0.920], [0.277, 0.133, 0.417], [0.784, 0.133, 0.331], [0.796, 0.610, 0.500], [0.784, 0.633, 0.669], [0.714, 0.391, 0.753], [0.906, 0.398, 0.620], [0.204, 0.390, 0.500], [0.786, 0.611, 0.001], [0.401, 0.400, 0.636], [0.396, 0.899, 0.866], [0.277, 0.633, 0.583], [0.104, 0.601, 0.885], [0.712, 0.387, 0.249], [0.604, 0.601, 0.866], [0.786, 0.111, 0.999], [0.221, 0.866, 0.169], [0.221, 0.366, 0.831], [0.204, 0.890, 0.500], [0.896, 0.399, 0.115], [0.779, 0.134, 0.831], [0.796, 0.110, 0.500], [0.279, 0.635, 0.080], [0.401, 0.900, 0.364], [0.396, 0.399, 0.134], [0.216, 0.367, 0.331], [0.286, 0.609, 0.247], [0.094, 0.602, 0.380], [0.906, 0.898, 0.380], [0.214, 0.389, 0.999], [0.714, 0.891, 0.247], [0.723, 0.367, 0.417], [0.721, 0.865, 0.080], [0.094, 0.102, 0.620], [0.288, 0.113, 0.249], [0.214, 0.889, 0.001], [0.896, 0.899, 0.885], [0.104, 0.101, 0.115], [0.723, 0.867, 0.583], [0.599, 0.100, 0.636], [0.604, 0.101, 0.134], [0.216, 0.867, 0.669], [0.288, 0.613, 0.751], [0.599, 0.600, 0.364], [0.000, 0.750, 0.574], [0.000, 0.250, 0.426], [0.000, 0.750, 0.274], [0.000, 0.750, 0.776], [0.000, 0.250, 0.726], [0.500, 0.750, 0.976], [0.500, 0.250, 0.024], [0.000, 0.250, 0.224], [0.500, 0.250, 0.527], [0.500, 0.750, 0.473], [0.500, 0.250, 0.327], [0.500, 0.250, 0.828], [0.500, 0.750, 0.172], [0.000, 0.250, 0.922], [0.000, 0.750, 0.078], [0.500, 0.750, 0.673]]}

***

# 2
{"formula": "CaTcSbI2", "functional": "meta-GGA SCAN", "state": "PBEsol geometry", "final_energy_ev_per_atom": -31.07, "crystal_system": "tetragonal", "space_group": "No. 123", "lattice_angstrom": [[5.044, 0.000, 0.000], [0.000, 5.488, 0.000], [0.000, 0.000, 5.488]], "species": ["I", "I", "Ca", "Tc", "Sb"], "frac_coords": [[0.000, 0.500, 0.000], [0.000, 0.000, 0.500], [0.500, 0.500, 0.500], [0.000, 0.000, 0.000], [0.500, 0.000, 0.000]]}